1.
DFT (PBEsol) results for CeScSb after structural relaxation.

Calculated values
DOS at the Fermi energy: 9.3 states/eV/f.u.
raw formation energy: -0.724 eV per atom
space-group type: No. 139
total magnetic moment: 0.5999 μB/atom
calculated total energy: -0.2441 hartree per atom

abc: 4.398 4.398 8.690
angles: 104.66 104.66 90.00
Last column: magnetic moment on the atom in μB.
Positions (direct):
Sc (0.500, 0.000, 0.000)  0.42
Sc (0.000, 0.500, 0.000)  0.42
Sb (0.628, 0.628, 0.256)  -0.02
Ce (0.174, 0.174, 0.348)  0.91
Ce (0.826, 0.826, 0.652)  0.91
Sb (0.372, 0.372, 0.744)  -0.02



2.
DFT (PBEsol) results for Ce2SbTe after structural relaxation.

Calculated values
DOS at the Fermi energy: 12.9 states/eV/f.u.
raw formation energy: -1.156 eV per atom
space-group type: No. 123
total magnetic moment: 0.4667 μB/atom
calculated total energy: -0.2380 hartree per atom

abc: 4.420 4.420 6.248
angles: 90.00 90.00 90.00
Last column: magnetic moment on the atom in μB.
Positions (direct):
Te (0.500, 0.500, 0.000)  -0.02
Ce (0.000, 0.000, 0.000)  0.86
Sb (0.000, 0.000, 0.500)  -0.02
Ce (0.500, 0.500, 0.500)  0.78



3.
DFT (PBEsol) results for Ce2ScSi2 after structural relaxation.

Calculated values
DOS at the Fermi energy: 10.2 states/eV/f.u.
raw formation energy: -0.635 eV per atom
space-group type: No. 127
total magnetic moment: 0.2099 μB/atom
calculated total energy: -0.2533 hartree per atom

abc: 4.287 7.191 7.191
angles: 90.00 90.00 90.00
Last column: magnetic moment on the atom in μB.
Positions (direct):
Ce (0.500, 0.322, 0.822)  0.40
Si (0.000, 0.120, 0.620)  -0.01
Ce (0.500, 0.678, 0.178)  0.40
Si (0.000, 0.880, 0.380)  -0.01
Si (0.000, 0.620, 0.880)  -0.01
Ce (0.500, 0.822, 0.678)  0.40
Ce (0.500, 0.178, 0.322)  0.40
Sc (0.000, 0.000, 0.000)  0.10
Sc (0.000, 0.500, 0.500)  0.10
Si (0.000, 0.380, 0.120)  -0.01



4.
DFT (PBEsol) results for CeSe2 after structural relaxation.

Calculated values
raw formation energy: -1.558 eV per atom
space-group type: No. 139
total magnetic moment: 0.0000 μB/atom
calculated total energy: -0.2324 hartree per atom

abc: 4.801 6.773 4.806
angles: 90.00 90.00 90.00
Positions (direct):
Se (0.500, 0.250, 0.000)
Ce (0.000, 0.000, 0.000)
Ce (0.500, 0.500, 0.500)
Se (0.000, 0.250, 0.500)
Se (0.000, 0.750, 0.500)
Se (0.500, 0.750, 0.000)